# 1
BaPmSm2: relaxed, PBE.

```
data_BaPmSm2
_cell_length_a 3.6836
_cell_length_b 3.6836
_cell_length_c 13.2716
_cell_angle_alpha 82.02
_cell_angle_beta 82.02
_cell_angle_gamma 60.00
_space_group_name_H-M_alt 'P 1'
_space_group_IT_number 1
_space_group_name_Hall 'P 1'
loop_
_atom_site_label
_atom_site_type_symbol
_atom_site_fract_x
_atom_site_fract_y
_atom_site_fract_z
Sm1 Sm 0.0930 0.0930 0.7210
Sm2 Sm 0.9070 0.9070 0.2790
Pm1 Pm 0.5000 0.5000 0.5000
Ba1 Ba 0.0000 0.0000 0.0000
```

Values from the calculation:
**Formation energy**: 204 meV/atom
**Size of the total moment**: 0.00 μB per atom
**Space group**: No. 166
**Uncorrected energy**: -15.3 eV per formula unit
**V**: 153.94 Å³/cell



# 2
BaPm2Sm3Te6: relaxed, PBE.

```
data_BaPm2Sm3Te6
_cell_length_a 4.5108
_cell_length_b 9.1412
_cell_length_c 10.1389
_cell_angle_alpha 103.53
_cell_angle_beta 102.85
_cell_angle_gamma 90.00
_space_group_name_H-M_alt 'P 1'
_space_group_IT_number 1
_space_group_name_Hall 'P 1'
loop_
_atom_site_label
_atom_site_type_symbol
_atom_site_fract_x
_atom_site_fract_y
_atom_site_fract_z
Te1 Te 0.3250 0.9157 0.6500
Te2 Te 0.9965 0.7315 0.9930
Te3 Te 0.3356 0.4175 0.6711
Sm1 Sm 0.5000 0.5000 0.0000
Te4 Te 0.6644 0.5825 0.3289
Sm2 Sm 0.8379 0.1809 0.6757
Sm3 Sm 0.1621 0.8191 0.3243
Pm1 Pm 0.1713 0.3442 0.3426
Ba1 Ba 0.5000 0.0000 0.0000
Te5 Te 0.0035 0.2685 0.0070
Pm2 Pm 0.8287 0.6558 0.6574
Te6 Te 0.6750 0.0843 0.3500
```

Values from the calculation:
**Raw formation energy**: -1.429 eV/atom
**Size of the total moment**: 0.00 μB per atom
**Space group**: No. 12
**Uncorrected energy**: -61.6 eV per formula unit
**V**: 395.69 Å³/cell



# 3
BaPmSn6: relaxed, PBE.

```
data_BaPmSn6
_cell_length_a 4.9058
_cell_length_b 4.9058
_cell_length_c 9.6127
_cell_angle_alpha 90.00
_cell_angle_beta 90.00
_cell_angle_gamma 90.00
_space_group_name_H-M_alt 'P 1'
_space_group_IT_number 1
_space_group_name_Hall 'P 1'
loop_
_atom_site_label
_atom_site_type_symbol
_atom_site_fract_x
_atom_site_fract_y
_atom_site_fract_z
Sn1 Sn 0.5000 0.0000 0.2615
Sn2 Sn 0.5000 0.5000 0.0000
Ba1 Ba 0.0000 0.0000 0.0000
Sn3 Sn 0.0000 0.5000 0.2615
Sn4 Sn 0.5000 0.5000 0.5000
Sn5 Sn 0.5000 0.0000 0.7385
Pm1 Pm 0.0000 0.0000 0.5000
Sn6 Sn 0.0000 0.5000 0.7385
```

Values from the calculation:
**Formation energy**: -437 meV/atom
**Size of the total moment**: 0.00 μB per atom
**Space group**: No. 123
**Uncorrected energy**: -34.2 eV per formula unit
**V**: 231.35 Å³/cell



# 4
BaPm2Sn: relaxed, PBE.

```
data_BaPm2Sn
_cell_length_a 5.6724
_cell_length_b 5.6724
_cell_length_c 5.6724
_cell_angle_alpha 60.00
_cell_angle_beta 60.00
_cell_angle_gamma 60.00
_space_group_name_H-M_alt 'P 1'
_space_group_IT_number 1
_space_group_name_Hall 'P 1'
loop_
_atom_site_label
_atom_site_type_symbol
_atom_site_fract_x
_atom_site_fract_y
_atom_site_fract_z
Pm1 Pm 0.7500 0.7500 0.7500
Sn1 Sn 0.5000 0.5000 0.5000
Pm2 Pm 0.2500 0.2500 0.2500
Ba1 Ba 0.0000 0.0000 0.0000
```

Values from the calculation:
**Formation energy**: -134 meV/atom
**Size of the total moment**: 0.00 μB per atom
**Space group**: No. 225
**Uncorrected energy**: -16.0 eV per formula unit
**V**: 129.06 Å³/cell



# 5
BaPm2Sn2: relaxed, PBE.

```
data_BaPm2Sn2
_cell_length_a 5.0996
_cell_length_b 5.0995
_cell_length_c 7.8346
_cell_angle_alpha 109.04
_cell_angle_beta 108.99
_cell_angle_gamma 90.00
_space_group_name_H-M_alt 'P 1'
_space_group_IT_number 1
_space_group_name_Hall 'P 1'
loop_
_atom_site_label
_atom_site_type_symbol
_atom_site_fract_x
_atom_site_fract_y
_atom_site_fract_z
Ba1 Ba 0.0000 0.0000 0.0000
Sn1 Sn 0.6080 0.6076 0.2161
Pm1 Pm 0.2500 0.7499 0.5000
Pm2 Pm 0.7500 0.2501 0.5000
Sn2 Sn 0.3920 0.3924 0.7839
```

Values from the calculation:
**Formation energy**: -533 meV/atom
**Size of the total moment**: 0.00 μB per atom
**Space group**: No. 139
**Uncorrected energy**: -22.1 eV per formula unit
**V**: 180.83 Å³/cell



# 6
BaPm2Sn: relaxed, PBE.

```
data_BaPm2Sn
_cell_length_a 5.2373
_cell_length_b 5.2373
_cell_length_c 6.9830
_cell_angle_alpha 67.98
_cell_angle_beta 67.98
_cell_angle_gamma 60.00
_space_group_name_H-M_alt 'P 1'
_space_group_IT_number 1
_space_group_name_Hall 'P 1'
loop_
_atom_site_label
_atom_site_type_symbol
_atom_site_fract_x
_atom_site_fract_y
_atom_site_fract_z
Pm1 Pm 0.2782 0.2782 0.1653
Sn1 Sn 0.0000 0.0000 0.0000
Pm2 Pm 0.7218 0.7218 0.8347
Ba1 Ba 0.5000 0.5000 0.5000
```

Values from the calculation:
**Formation energy**: -149 meV/atom
**Size of the total moment**: 0.00 μB per atom
**Space group**: No. 166
**Uncorrected energy**: -16.0 eV per formula unit
**V**: 149.52 Å³/cell